1.
# Rb2CoPb (PBE, optimized geometry)
data_Rb2CoPb
_chemical_formula_sum 'Rb8 Co4 Pb4'
_symmetry_space_group_name_H-M 'I -4 2 d'
_symmetry_Int_Tables_number 122
_symmetry_space_group_name_Hall 'I -4 2bw'
_cell_length_a 13.002
_cell_length_b 13.002
_cell_length_c 4.999
_cell_angle_alpha 90.00
_cell_angle_beta 90.00
_cell_angle_gamma 90.00
loop_
_atom_site_label
_atom_site_type_symbol
_atom_site_fract_x
_atom_site_fract_y
_atom_site_fract_z
Rb1 Rb 0.064 0.250 0.125
Co1 Co 0.000 0.000 0.000
Pb1 Pb 0.000 0.000 0.500
# energy of formation from the pure elements = 174.8 kJ/mol of formula units
# crystal system = tetragonal



2.
# RbCo3Pb (PBE, optimized geometry)
data_RbCo3Pb
_chemical_formula_sum 'Rb1 Co3 Pb1'
_symmetry_space_group_name_H-M 'P m -3 m'
_symmetry_Int_Tables_number 221
_symmetry_space_group_name_Hall '-P 4 2 3'
_cell_length_a 4.768
_cell_length_b 4.768
_cell_length_c 4.768
_cell_angle_alpha 90.00
_cell_angle_beta 90.00
_cell_angle_gamma 90.00
loop_
_atom_site_label
_atom_site_type_symbol
_atom_site_fract_x
_atom_site_fract_y
_atom_site_fract_z
Rb1 Rb 0.000 0.000 0.000
Co1 Co 0.000 0.000 0.500
Pb1 Pb 0.500 0.500 0.500
# energy of formation from the pure elements = 1106.2 kJ/mol of formula units
# crystal system = cubic



3.
# RbCo3Pb (PBE, optimized geometry)
data_RbCo3Pb
_chemical_formula_sum 'Rb1 Co3 Pb1'
_symmetry_space_group_name_H-M 'P m -3 m'
_symmetry_Int_Tables_number 221
_symmetry_space_group_name_Hall '-P 4 2 3'
_cell_length_a 5.108
_cell_length_b 5.108
_cell_length_c 5.108
_cell_angle_alpha 90.00
_cell_angle_beta 90.00
_cell_angle_gamma 90.00
loop_
_atom_site_label
_atom_site_type_symbol
_atom_site_fract_x
_atom_site_fract_y
_atom_site_fract_z
Rb1 Rb 0.000 0.000 0.000
Co1 Co 0.000 0.500 0.500
Pb1 Pb 0.500 0.500 0.500
# energy of formation from the pure elements = 647.8 kJ/mol of formula units
# crystal system = cubic



4.
# RbSc2CoPb (PBE, optimized geometry)
data_RbSc2CoPb
_chemical_formula_sum 'Rb1 Sc2 Co1 Pb1'
_symmetry_space_group_name_H-M 'P 4/m m m'
_symmetry_Int_Tables_number 123
_symmetry_space_group_name_Hall '-P 4 2'
_cell_length_a 5.062
_cell_length_b 5.062
_cell_length_c 5.159
_cell_angle_alpha 90.00
_cell_angle_beta 90.00
_cell_angle_gamma 90.00
loop_
_atom_site_label
_atom_site_type_symbol
_atom_site_fract_x
_atom_site_fract_y
_atom_site_fract_z
Rb1 Rb 0.000 0.000 0.000
Sc1 Sc 0.000 0.500 0.500
Co1 Co 0.500 0.500 0.500
Pb1 Pb 0.500 0.500 0.000
# energy of formation from the pure elements = 85.3 kJ/mol of formula units
# crystal system = tetragonal



5.
# RbCoTcPb2 (PBE, optimized geometry)
data_RbCoTcPb2
_chemical_formula_sum 'Rb1 Co1 Tc1 Pb2'
_symmetry_space_group_name_H-M 'P 4/m m m'
_symmetry_Int_Tables_number 123
_symmetry_space_group_name_Hall '-P 4 2'
_cell_length_a 5.954
_cell_length_b 5.954
_cell_length_c 4.503
_cell_angle_alpha 90.00
_cell_angle_beta 90.00
_cell_angle_gamma 90.00
loop_
_atom_site_label
_atom_site_type_symbol
_atom_site_fract_x
_atom_site_fract_y
_atom_site_fract_z
Rb1 Rb 0.000 0.000 0.000
Co1 Co 0.000 0.000 0.500
Tc1 Tc 0.500 0.500 0.500
Pb1 Pb 0.000 0.500 0.000
# energy of formation from the pure elements = 1130.9 kJ/mol of formula units
# crystal system = tetragonal



6.
# Rb2CoTePb (PBE, optimized geometry)
data_Rb2CoTePb
_chemical_formula_sum 'Rb2 Co1 Te1 Pb1'
_symmetry_space_group_name_H-M 'P 4/m m m'
_symmetry_Int_Tables_number 123
_symmetry_space_group_name_Hall '-P 4 2'
_cell_length_a 7.149
_cell_length_b 7.149
_cell_length_c 4.745
_cell_angle_alpha 90.00
_cell_angle_beta 90.00
_cell_angle_gamma 90.00
loop_
_atom_site_label
_atom_site_type_symbol
_atom_site_fract_x
_atom_site_fract_y
_atom_site_fract_z
Rb1 Rb 0.000 0.500 0.000
Co1 Co 0.000 0.000 0.500
Te1 Te 0.000 0.000 0.000
Pb1 Pb 0.500 0.500 0.500
# formation energy without anion corrections = 225 meV per atom
# crystal system = tetragonal



7.
# Co2RePb (PBE, optimized geometry)
data_Co2RePb
_chemical_formula_sum 'Co4 Re2 Pb2'
_symmetry_space_group_name_H-M 'C 1 m 1'
_symmetry_Int_Tables_number 8
_cell_length_a 8.551
_cell_length_b 2.958
_cell_length_c 4.901
_cell_angle_alpha 90.00
_cell_angle_beta 100.63
_cell_angle_gamma 90.00
loop_
_symmetry_equiv_pos_as_xyz
'x,y,z'
'x,-y,z'
'x+1/2,y+1/2,z'
'x+1/2,-y+1/2,z'
loop_
_atom_site_label
_atom_site_type_symbol
_atom_site_fract_x
_atom_site_fract_y
_atom_site_fract_z
Co1 Co 0.000 0.000 0.000
Co2 Co 0.241 0.500 0.235
Re1 Re 0.476 0.000 0.387
Pb1 Pb 0.243 0.000 0.743
# energy of formation from the pure elements = 223.7 kJ/mol of formula units
# crystal system = monoclinic



8.
# Co2RePb (PBE, optimized geometry)
data_Co2RePb
_chemical_formula_sum 'Co8 Re4 Pb4'
_symmetry_space_group_name_H-M 'F -4 3 m'
_symmetry_Int_Tables_number 216
_symmetry_space_group_name_Hall 'F -4 2 3'
_cell_length_a 6.194
_cell_length_b 6.194
_cell_length_c 6.194
_cell_angle_alpha 90.00
_cell_angle_beta 90.00
_cell_angle_gamma 90.00
loop_
_atom_site_label
_atom_site_type_symbol
_atom_site_fract_x
_atom_site_fract_y
_atom_site_fract_z
Co1 Co 0.000 0.000 0.000
Co2 Co 0.250 0.250 0.250
Re1 Re 0.250 0.250 0.750
Pb1 Pb 0.000 0.000 0.500
# energy of formation from the pure elements = 320.5 kJ/mol of formula units
# crystal system = cubic



9.
# Co2RePb (PBE, optimized geometry)
data_Co2RePb
_chemical_formula_sum 'Co2 Re1 Pb1'
_symmetry_space_group_name_H-M 'P 4/m m m'
_symmetry_Int_Tables_number 123
_symmetry_space_group_name_Hall '-P 4 2'
_cell_length_a 2.876
_cell_length_b 2.876
_cell_length_c 7.377
_cell_angle_alpha 90.00
_cell_angle_beta 90.00
_cell_angle_gamma 90.00
loop_
_atom_site_label
_atom_site_type_symbol
_atom_site_fract_x
_atom_site_fract_y
_atom_site_fract_z
Co1 Co 0.000 0.000 0.212
Re1 Re 0.500 0.500 0.000
Pb1 Pb 0.500 0.500 0.500
# energy of formation from the pure elements = 186.0 kJ/mol of formula units
# crystal system = tetragonal



10.
# Co3RePb (PBE, optimized geometry)
data_Co3RePb
_chemical_formula_sum 'Co3 Re1 Pb1'
_symmetry_space_group_name_H-M 'P m -3 m'
_symmetry_Int_Tables_number 221
_symmetry_space_group_name_Hall '-P 4 2 3'
_cell_length_a 4.538
_cell_length_b 4.538
_cell_length_c 4.538
_cell_angle_alpha 90.00
_cell_angle_beta 90.00
_cell_angle_gamma 90.00
loop_
_atom_site_label
_atom_site_type_symbol
_atom_site_fract_x
_atom_site_fract_y
_atom_site_fract_z
Co1 Co 0.000 0.000 0.500
Re1 Re 0.000 0.000 0.000
Pb1 Pb 0.500 0.500 0.500
# energy of formation from the pure elements = 603.9 kJ/mol of formula units
# crystal system = cubic



11.
# Co4RePb (PBE, optimized geometry)
data_Co4RePb
_chemical_formula_sum 'Co16 Re4 Pb4'
_symmetry_space_group_name_H-M 'F -4 3 m'
_symmetry_Int_Tables_number 216
_symmetry_space_group_name_Hall 'F -4 2 3'
_cell_length_a 6.855
_cell_length_b 6.855
_cell_length_c 6.855
_cell_angle_alpha 90.00
_cell_angle_beta 90.00
_cell_angle_gamma 90.00
loop_
_atom_site_label
_atom_site_type_symbol
_atom_site_fract_x
_atom_site_fract_y
_atom_site_fract_z
Co1 Co 0.124 0.124 0.376
Re1 Re 0.250 0.250 0.750
Pb1 Pb 0.000 0.000 0.000
# energy of formation from the pure elements = 279.0 kJ/mol of formula units
# crystal system = cubic



12.
# Co2RePb (PBE, optimized geometry)
data_Co2RePb
_chemical_formula_sum 'Co4 Re2 Pb2'
_symmetry_space_group_name_H-M 'C 1 2/m 1'
_symmetry_Int_Tables_number 12
_cell_length_a 7.810
_cell_length_b 3.287
_cell_length_c 5.238
_cell_angle_alpha 90.00
_cell_angle_beta 100.29
_cell_angle_gamma 90.00
loop_
_symmetry_equiv_pos_as_xyz
'x,y,z'
'-x,-y,-z'
'-x,y,-z'
'x,-y,z'
'x+1/2,y+1/2,z'
'-x+1/2,-y+1/2,-z'
'-x+1/2,y+1/2,-z'
'x+1/2,-y+1/2,z'
loop_
_atom_site_label
_atom_site_type_symbol
_atom_site_fract_x
_atom_site_fract_y
_atom_site_fract_z
Co1 Co 0.218 0.000 0.159
Re1 Re 0.000 0.500 0.000
Pb1 Pb 0.000 0.000 0.500
# energy of formation from the pure elements = 241.2 kJ/mol of formula units
# crystal system = monoclinic



13.
# Co2RePb (PBE, optimized geometry)
data_Co2RePb
_chemical_formula_sum 'Co4 Re2 Pb2'
_symmetry_space_group_name_H-M 'C m m m'
_symmetry_Int_Tables_number 65
_symmetry_space_group_name_Hall '-C 2 2'
_cell_length_a 5.739
_cell_length_b 7.108
_cell_length_c 2.882
_cell_angle_alpha 90.00
_cell_angle_beta 90.00
_cell_angle_gamma 90.00
loop_
_atom_site_label
_atom_site_type_symbol
_atom_site_fract_x
_atom_site_fract_y
_atom_site_fract_z
Co1 Co 0.250 0.250 0.000
Re1 Re 0.000 0.000 0.500
Pb1 Pb 0.000 0.500 0.500
# energy of formation from the pure elements = 254.4 kJ/mol of formula units
# crystal system = orthorhombic



14.
# Co2RePb (PBE, optimized geometry)
data_Co2RePb
_chemical_formula_sum 'Co2 Re1 Pb1'
_symmetry_space_group_name_H-M 'P 1 2/m 1'
_symmetry_Int_Tables_number 10
_cell_length_a 4.537
_cell_length_b 2.953
_cell_length_c 4.881
_cell_angle_alpha 90.00
_cell_angle_beta 110.30
_cell_angle_gamma 90.00
loop_
_symmetry_equiv_pos_as_xyz
'x,y,z'
'-x,-y,-z'
'-x,y,-z'
'x,-y,z'
loop_
_atom_site_label
_atom_site_type_symbol
_atom_site_fract_x
_atom_site_fract_y
_atom_site_fract_z
Co1 Co 0.000 0.000 0.000
Co2 Co 0.000 0.500 0.500
Re1 Re 0.500 0.000 0.500
Pb1 Pb 0.500 0.500 0.000
# energy of formation from the pure elements = 314.0 kJ/mol of formula units
# crystal system = monoclinic